Entry from Alexandria via LeMat-Bulk: a geometry-optimized UGa3Ru structure (GGA-PBE).

Properties
**Magnetic moment**: 0.308 μB per atom
**Total DFT energy (no corrections)**: -6.281 eV/atom
**ΔE_f**: -352 meV per atom

abc: 6.418 6.418 6.418
angles: 90.00 90.00 90.00
Space group Pm-3m (No. 221)
Symmetry-distinct sites (fractional):
U 0.000 0.000 0.500 [3 per cell]
Ga 0.000 0.000 0.000 [1 per cell]
Ga 0.287 0.287 0.287 [8 per cell]
Ru 0.000 0.500 0.500 [3 per cell]